1.
# PBE MgPIr, optimized geometry
data_MgPIr
_chemical_formula_sum 'Mg4 P4 Ir4'
_cell_length_a 9.586
_cell_length_b 4.035
_cell_length_c 6.448
_cell_angle_alpha 90.00
_cell_angle_beta 131.00
_cell_angle_gamma 90.00
_symmetry_space_group_name_H-M 'C 1 2/m 1'
_symmetry_Int_Tables_number 12
_symmetry_space_group_name_Hall '-C 2y'
loop_
_atom_site_label
_atom_site_fract_x
_atom_site_fract_y
_atom_site_fract_z
Mg1 0.068 0.000 0.289
P1 0.146 0.500 0.695
Ir1 0.202 0.500 0.113
# * total energy: -69.93 eV/cell
# * formation enthalpy at 0 K: -52.0 kJ per mole of atoms
# * Fermi-level density of states: 4.08 states/eV/cell

2.
# PBE BaTl4Au4, optimized geometry
data_BaTl4Au4
_chemical_formula_sum 'Ba2 Tl8 Au8'
_cell_length_a 9.779
_cell_length_b 9.779
_cell_length_c 5.256
_cell_angle_alpha 90.00
_cell_angle_beta 90.00
_cell_angle_gamma 90.00
_symmetry_space_group_name_H-M 'I 4/m'
_symmetry_Int_Tables_number 87
_symmetry_space_group_name_Hall '-I 4'
loop_
_atom_site_label
_atom_site_fract_x
_atom_site_fract_y
_atom_site_fract_z
Ba1 0.000 0.000 0.000
Tl1 0.111 0.357 0.000
Au1 0.089 0.200 0.500
# * total energy: -52.97 eV/cell
# * formation enthalpy at 0 K: -21.3 kJ per mole of atoms
# * Fermi-level density of states: 8.15 states/eV/cell

3.
# PBE RbBa2ReSn, optimized geometry
data_RbBa2ReSn
_chemical_formula_sum 'Rb1 Ba2 Re1 Sn1'
_cell_length_a 6.123
_cell_length_b 6.123
_cell_length_c 5.382
_cell_angle_alpha 90.00
_cell_angle_beta 90.00
_cell_angle_gamma 90.00
_symmetry_space_group_name_H-M 'P 4/m m m'
_symmetry_Int_Tables_number 123
_symmetry_space_group_name_Hall '-P 4 2'
loop_
_atom_site_label
_atom_site_fract_x
_atom_site_fract_y
_atom_site_fract_z
Rb1 0.000 0.000 0.000
Ba1 0.000 0.500 0.500
Re1 0.500 0.500 0.500
Sn1 0.500 0.500 0.000
# * total energy: -19.32 eV/cell
# * formation enthalpy at 0 K: 37.5 kJ per mole of atoms
# * Fermi-level density of states: 4.50 states/eV/cell

4.
# PBE Sr2CdAs2, optimized geometry
data_Sr2CdAs2
_chemical_formula_sum 'Sr4 Cd2 As4'
_cell_length_a 6.007
_cell_length_b 6.007
_cell_length_c 9.066
_cell_angle_alpha 90.00
_cell_angle_beta 90.00
_cell_angle_gamma 90.00
_symmetry_space_group_name_H-M 'I 4/m m m'
_symmetry_Int_Tables_number 139
_symmetry_space_group_name_Hall '-I 4 2'
loop_
_atom_site_label
_atom_site_fract_x
_atom_site_fract_y
_atom_site_fract_z
Sr1 0.000 0.500 0.250
Cd1 0.000 0.000 0.000
As1 0.000 0.000 0.357
# * total energy: -33.01 eV/cell
# * formation enthalpy at 0 K: -56.5 kJ per mole of atoms
# * Fermi-level density of states: 0.28 states/eV/cell

5.
# PBE YZrI2O, optimized geometry
data_YZrI2O
_chemical_formula_sum 'Y1 Zr1 I2 O1'
_cell_length_a 5.953
_cell_length_b 5.953
_cell_length_c 3.982
_cell_angle_alpha 90.00
_cell_angle_beta 90.00
_cell_angle_gamma 90.00
_symmetry_space_group_name_H-M 'P 4/m m m'
_symmetry_Int_Tables_number 123
_symmetry_space_group_name_Hall '-P 4 2'
loop_
_atom_site_label
_atom_site_fract_x
_atom_site_fract_y
_atom_site_fract_z
Y1 0.000 0.000 0.000
Zr1 0.500 0.500 0.500
I1 0.000 0.500 0.500
O1 0.500 0.500 0.000
# * total energy: -28.03 eV/cell
# * uncorrected formation energy: -993 meV/atom
# * Fermi-level density of states: 4.80 states/eV/cell
# * E above lowest polymorph: 0 meV per atom

6.
# PBE NaY2Sn, optimized geometry
data_NaY2Sn
_chemical_formula_sum 'Na1 Y2 Sn1'
_cell_length_a 5.005
_cell_length_b 5.005
_cell_length_c 4.418
_cell_angle_alpha 90.00
_cell_angle_beta 90.00
_cell_angle_gamma 90.00
_symmetry_space_group_name_H-M 'P 4/m m m'
_symmetry_Int_Tables_number 123
_symmetry_space_group_name_Hall '-P 4 2'
loop_
_atom_site_label
_atom_site_fract_x
_atom_site_fract_y
_atom_site_fract_z
Na1 0.000 0.000 0.000
Y1 0.000 0.500 0.500
Sn1 0.500 0.500 0.000
# * total energy: -19.45 eV/cell
# * formation enthalpy at 0 K: -29.0 kJ per mole of atoms
# * Fermi-level density of states: 2.31 states/eV/cell

7.
# PBE GdErTlOs, optimized geometry
data_GdErTlOs
_chemical_formula_sum 'Gd4 Er4 Tl4 Os4'
_cell_length_a 7.167
_cell_length_b 7.167
_cell_length_c 7.167
_cell_angle_alpha 90.00
_cell_angle_beta 90.00
_cell_angle_gamma 90.00
_symmetry_space_group_name_H-M 'F -4 3 m'
_symmetry_Int_Tables_number 216
_symmetry_space_group_name_Hall 'F -4 2 3'
loop_
_atom_site_label
_atom_site_fract_x
_atom_site_fract_y
_atom_site_fract_z
Gd1 0.000 0.000 0.000
Er1 0.000 0.000 0.500
Tl1 0.250 0.250 0.250
Os1 0.250 0.250 0.750
# * total energy: -131.22 eV/cell
# * formation enthalpy at 0 K: -13.6 kJ per mole of atoms
# * Fermi-level density of states: 11.50 states/eV/cell

8.
# PBE Ba2POs, optimized geometry
data_Ba2POs
_chemical_formula_sum 'Ba2 P1 Os1'
_cell_length_a 3.324
_cell_length_b 4.186
_cell_length_c 8.266
_cell_angle_alpha 90.00
_cell_angle_beta 90.00
_cell_angle_gamma 90.00
_symmetry_space_group_name_H-M 'P m m m'
_symmetry_Int_Tables_number 47
_symmetry_space_group_name_Hall '-P 2 2'
loop_
_atom_site_label
_atom_site_fract_x
_atom_site_fract_y
_atom_site_fract_z
Ba1 0.000 0.000 0.241
P1 0.500 0.500 0.000
Os1 0.500 0.500 0.500
# * total energy: -18.72 eV/cell
# * formation enthalpy at 0 K: 42.6 kJ per mole of atoms
# * Fermi-level density of states: 3.33 states/eV/cell